Tl2CoRuO4 | PBE+U | optimized geometry

Total magnetic moment   1.0 μB per formula unit
Crystal system   tetragonal
Final energy   -5.55 eV per atom
Density of states at the Fermi level   3.704 states/eV/f.u.

a = 5.5957 Å, b = 5.5957 Å, c = 5.5957 Å
α = 113.13°, β = 113.13°, γ = 102.38°
Last column: nearest neighbours and their distance in Å.
Atoms (fractional coordinates):
Tl 0.0000 0.0000 0.0000  8 O 2.85-3.11
Tl 0.7500 0.2500 0.5000  4 O 2.83
Co 0.5000 0.5000 0.0000  4 O 1.95
Ru 0.2500 0.7500 0.5000  4 O 1.91
O 0.2217 0.1072 0.6546  1 Ru 1.91, 1 Co 1.95
O 0.4329 0.7783 0.8856  1 Ru 1.91, 1 Co 1.95
O 0.4527 0.5671 0.3454  1 Ru 1.91, 1 Co 1.95
O 0.8928 0.5473 0.1144  1 Ru 1.91, 1 Co 1.95